## RbLi2MoI8 (PBE)

Data for a geometry-optimized RbLi2MoI8 structure.

## Properties
* density of states at the Fermi level: 4.592 states/eV/cell
* spin magnetization: 2.22 μB per cell
* uncorrected formation energy: -7.735 eV per formula unit
* energy: -35.8 eV per cell

Cell: 7.527 6.492 10.205 Å, 69.11 89.26 94.65°
Element x y z (fractional)
Mo 0.000 0.000 0.000
Rb 0.000 0.000 0.500
Li 0.405 0.510 0.189
I 0.915 0.342 0.751
I 0.818 0.175 0.158
Li 0.595 0.490 0.811
I 0.674 0.766 0.975
I 0.182 0.825 0.842
I 0.085 0.658 0.249
I 0.326 0.234 0.025
I 0.497 0.260 0.485
I 0.503 0.740 0.515

=====

## Te2OsNCl (PBE)

Data for a geometry-optimized Te2OsNCl structure.

## Properties
* ΔE to the lowest computed polymorph: 0.0 meV/atom
* density of states at the Fermi level: 4.417 states/eV/cell
* spin magnetization: 0.00 μB per cell
* uncorrected formation energy: 1.867 eV per formula unit
* energy: -25.8 eV per cell

Cell: 5.531 5.531 3.662 Å, 90.00 90.00 90.00°
Element x y z (fractional)
Os 0.000 0.000 0.000
Te 0.000 0.500 0.000
N 0.000 0.000 0.500
Te 0.500 0.000 0.000
Cl 0.500 0.500 0.500

=====

## LiMgTc (PBE)

Data for a geometry-optimized LiMgTc structure.

## Properties
* ΔE to the lowest computed polymorph: 978.4 meV/atom
* density of states at the Fermi level: 1.239 states/eV/cell
* formation enthalpy at 0 K: 0.9687 eV/atom
* spin magnetization: 2.03 μB per cell
* energy: -11.0 eV per cell

Cell: 4.212 4.212 4.213 Å, 60.00 60.00 60.00°
Element x y z (fractional)
Li 0.250 0.250 0.250
Tc 0.500 0.500 0.500
Mg 0.000 0.000 0.000

=====

## CeMgMn17 (PBE)

Data for a geometry-optimized CeMgMn17 structure.

## Properties
* density of states at the Fermi level: 21.114 states/eV/cell
* formation enthalpy at 0 K: 0.0883 eV/atom
* spin magnetization: 4.50 μB per cell
* energy: -161.7 eV per cell

Cell: 6.266 6.266 6.266 Å, 86.30 86.30 86.30°
Element x y z (fractional)
Mn 0.996 0.996 0.499
Mn 0.102 0.102 0.102
Mn 0.878 0.363 0.363
Ce 0.359 0.359 0.359
Mn 0.723 0.274 0.998
Mn 0.363 0.363 0.878
Mn 0.998 0.723 0.274
Mn 0.123 0.642 0.642
Mn 0.723 0.998 0.274
Mn 0.897 0.897 0.897
Mn 0.642 0.123 0.642
Mn 0.274 0.723 0.998
Mn 0.499 0.996 0.996
Mg 0.652 0.652 0.652
Mn 0.274 0.998 0.723
Mn 0.998 0.274 0.723
Mn 0.996 0.499 0.996
Mn 0.642 0.642 0.123
Mn 0.363 0.878 0.363

=====

## CsHoZn2Br8 (PBE)

Data for a geometry-optimized CsHoZn2Br8 structure.

## Properties
* density of states at the Fermi level: 0.000 states/eV/cell
* spin magnetization: 0.00 μB per cell
* uncorrected formation energy: -16.235 eV per formula unit
* energy: -37.6 eV per cell

Cell: 6.887 6.887 11.426 Å, 72.46 72.46 60.00°
Element x y z (fractional)
Br 0.057 0.378 0.846
Br 0.622 0.282 0.154
Br 0.943 0.622 0.154
Zn 0.743 0.743 0.770
Br 0.718 0.057 0.846
Cs 0.500 0.500 0.500
Ho 0.000 0.000 0.000
Br 0.282 0.943 0.154
Br 0.183 0.183 0.451
Zn 0.257 0.257 0.230
Br 0.817 0.817 0.549
Br 0.378 0.718 0.846

=====

## Re2NiHg (PBE)

Data for a geometry-optimized Re2NiHg structure.

## Properties
* density of states at the Fermi level: 2.605 states/eV/cell
* formation enthalpy at 0 K: 0.6320 eV/atom
* spin magnetization: 0.00 μB per cell
* energy: -28.5 eV per cell

Cell: 5.092 5.092 5.092 Å, 136.79 136.79 62.76°
Element x y z (fractional)
Re 0.500 0.500 0.000
Hg 0.250 0.750 0.500
Re 0.000 0.000 0.000
Ni 0.750 0.250 0.500

=====

## Sm6AlZn2 (PBE)

Data for a geometry-optimized Sm6AlZn2 structure.

## Properties
* ΔE to the lowest computed polymorph: 205.9 meV/atom
* density of states at the Fermi level: 13.746 states/eV/cell
* formation enthalpy at 0 K: 0.0158 eV/atom
* spin magnetization: 0.00 μB per cell
* energy: -34.5 eV per cell

Cell: 5.061 5.061 11.380 Å, 102.85 102.85 90.00°
Element x y z (fractional)
Sm 0.750 0.250 0.500
Zn 0.668 0.668 0.335
Sm 0.085 0.585 0.170
Sm 0.585 0.085 0.170
Zn 0.332 0.332 0.665
Sm 0.415 0.915 0.830
Al 0.000 0.000 0.000
Sm 0.915 0.415 0.830
Sm 0.250 0.750 0.500

=====

## Al8RhAu2 (PBE)

Data for a geometry-optimized Al8RhAu2 structure.

## Properties
* density of states at the Fermi level: 5.049 states/eV/cell
* formation enthalpy at 0 K: -0.2701 eV/atom
* spin magnetization: 0.00 μB per cell
* energy: -46.8 eV per cell

Cell: 3.975 7.596 7.400 Å, 120.88 105.58 90.00°
Element x y z (fractional)
Al 0.000 0.265 0.000
Al 0.336 0.582 0.673
Al 0.000 0.735 0.000
Rh 0.500 0.000 0.000
Al 0.842 0.842 0.684
Au 0.837 0.337 0.673
Al 0.664 0.418 0.327
Al 0.158 0.158 0.316
Au 0.163 0.663 0.327
Al 0.336 0.091 0.673
Al 0.664 0.909 0.327

=====

## Li4Cu3Rh (PBE)

Data for a geometry-optimized Li4Cu3Rh structure.

## Properties
* ΔE to the lowest computed polymorph: 0.0 meV/atom
* density of states at the Fermi level: 2.265 states/eV/cell
* formation enthalpy at 0 K: -0.0610 eV/atom
* spin magnetization: 0.00 μB per cell
* energy: -27.8 eV per cell

Cell: 4.287 4.193 6.626 Å, 108.47 108.88 90.00°
Element x y z (fractional)
Li 0.120 0.620 0.239
Li 0.880 0.380 0.761
Rh 0.000 0.000 0.000
Li 0.250 0.250 0.500
Cu 0.616 0.116 0.232
Li 0.750 0.750 0.500
Cu 0.384 0.884 0.768
Cu 0.500 0.500 0.000

=====

## YBePtI2 (PBE)

Data for a geometry-optimized YBePtI2 structure.

## Properties
* density of states at the Fermi level: 4.019 states/eV/cell
* spin magnetization: 0.00 μB per cell
* uncorrected formation energy: 2.206 eV per formula unit
* energy: -17.1 eV per cell

Cell: 5.525 5.402 5.525 Å, 90.00 90.00 90.00°
Element x y z (fractional)
I 0.500 0.000 0.000
Pt 0.000 0.000 0.000
Y 0.000 0.500 0.000
I 0.000 0.000 0.500
Be 0.500 0.500 0.500

=====

## LaTaI2 (PBE)

Data for a geometry-optimized LaTaI2 structure.

## Properties
* ΔE to the lowest computed polymorph: 0.0 meV/atom
* density of states at the Fermi level: 20.255 states/eV/cell
* spin magnetization: 0.00 μB per cell
* uncorrected formation energy: 1.106 eV per formula unit
* energy: -18.8 eV per cell

Cell: 5.320 5.320 5.320 Å, 60.00 60.00 60.00°
Element x y z (fractional)
I 0.250 0.250 0.250
I 0.750 0.750 0.750
Ta 0.500 0.500 0.500
La 0.000 0.000 0.000

=====

## NaUI6 (PBE)

Data for a geometry-optimized NaUI6 structure.

## Properties
* ΔE to the lowest computed polymorph: 0.0 meV/atom
* spin magnetization: 1.00 μB per cell
* uncorrected formation energy: -6.981 eV per formula unit
* energy: -28.9 eV per cell

Cell: 7.977 7.977 7.692 Å, 99.57 99.57 121.28°
Element x y z (fractional)
I 0.573 0.877 0.737
I 0.264 0.264 0.723
I 0.427 0.123 0.263
U 0.500 0.500 0.500
I 0.877 0.573 0.737
I 0.736 0.736 0.277
I 0.123 0.427 0.263
Na 0.000 0.000 0.000